1.
The following is a DFT calculation (PBE) of crystalline Th3ZnO at its relaxed geometry.

```
5
Lattice="4.939 0.000 0.000 0.000 4.939 0.000 0.000 0.000 4.939" Properties=species:S:1:pos:R:3 pbc="T T T"
Th 2.469 0.000 0.000
Th 0.000 0.000 2.469
Th 0.000 2.469 0.000
Zn 2.469 2.469 2.469
O 0.000 0.000 0.000
```

Values from the calculation:
Space-group type ... Pm-3m



2.
The following is a DFT calculation (PBE) of crystalline ThZr3O at its relaxed geometry.

```
5
Lattice="4.675 0.000 0.000 0.000 4.675 0.000 0.000 0.000 4.675" Properties=species:S:1:pos:R:3 pbc="T T T"
Zr 0.000 0.000 2.338
Zr 2.338 0.000 0.000
Zr 0.000 2.338 0.000
O 0.000 0.000 0.000
Th 2.338 2.338 2.338
```

Values from the calculation:
Space-group type ... Pm-3m



3.
The following is a DFT calculation (PBE) of crystalline ThZr2O at its relaxed geometry.

```
4
Lattice="-2.862 -1.345 -1.109 -1.737 -2.093 1.958 -5.973 5.602 3.557" Properties=species:S:1:pos:R:3 pbc="T T T"
O -5.286 1.082 2.203
Zr -4.373 3.169 2.377
Zr -6.199 -1.006 2.030
Th 0.000 0.000 0.000
```

Values from the calculation:
Space-group type ... R-3m



4.
The following is a DFT calculation (PBE) of crystalline Ti3O at its relaxed geometry.

```
16
Lattice="4.674 0.000 0.000 2.337 6.916 0.000 2.337 0.000 6.916" Properties=species:S:1:pos:R:3 pbc="T T T"
Ti 3.842 6.913 4.336
Ti 3.168 4.336 0.003
Ti 3.842 0.003 2.580
Ti 4.678 2.505 4.428
Ti 3.325 1.357 0.002
Ti 3.686 0.002 5.560
Ti 7.998 5.560 6.914
Ti 2.333 2.489 2.505
Ti 4.678 4.411 2.489
Ti 7.842 2.580 6.913
Ti 3.686 6.914 1.357
Ti 7.006 4.428 4.411
O 7.007 5.240 1.681
O 4.677 5.236 5.240
O 7.007 1.676 5.236
O 4.677 1.681 1.676
```

Values from the calculation:
Space-group type ... I-4



5.
The following is a DFT calculation (PBE) of crystalline TiO at its relaxed geometry.

```
12
Lattice="3.099 0.000 0.000 0.000 4.703 0.000 0.000 0.000 9.685" Properties=species:S:1:pos:R:3 pbc="T T T"
Ti 0.000 3.452 7.788
Ti 1.550 1.251 6.740
Ti 1.550 1.534 0.000
Ti 0.000 3.452 1.897
Ti 1.550 1.251 2.945
Ti 0.000 3.169 4.843
O 0.000 4.688 3.511
O 1.550 1.903 4.843
O 1.550 0.015 1.332
O 0.000 2.800 0.000
O 0.000 4.688 6.174
O 1.550 0.015 8.353
```

Values from the calculation:
Space-group type ... Pmmn



6.
The following is a DFT calculation (PBE) of crystalline TiO at its relaxed geometry.

```
12
Lattice="7.306 0.000 0.000 -3.653 6.327 0.000 0.000 0.000 3.495" Properties=species:S:1:pos:R:3 pbc="T T T"
Ti 5.271 2.104 0.874
Ti 0.814 5.617 2.621
Ti 0.805 2.814 2.621
Ti 2.840 0.710 0.874
Ti 2.849 3.513 0.874
Ti -1.618 4.224 2.621
O 4.897 0.088 0.874
O -1.128 2.131 2.621
O 4.781 4.197 0.874
O 1.281 2.042 0.874
O -1.244 6.239 2.621
O 2.372 4.285 2.621
```

Values from the calculation:
Space-group type ... P6_3/m



| no. | formation energy from raw total energies (eV/atom) | total magnetic moment (μB/cell) |
| --- | --- | --- |
| 1 | -1.00 | 0.0 |
| 2 | -0.91 | 0.0 |
| 3 | -0.91 | 0.0 |
| 4 | -0.89 | 0.0 |
| 5 | -2.41 | 0.0 |
| 6 | -2.36 | 0.0 |